Record 1
# Nb2ReHPt | the Alexandria database | PBE | optimized geometry
data_Nb2ReHPt
_cell_length_a 4.1786
_cell_length_b 4.1786
_cell_length_c 3.9102
_cell_angle_alpha 90.00
_cell_angle_beta 90.00
_cell_angle_gamma 90.00
_symmetry_space_group_name_H-M 'P 4/m m m'
_symmetry_Int_Tables_number 123
_symmetry_space_group_name_Hall '-P 4 2'
loop_
_atom_site_label
_atom_site_fract_x
_atom_site_fract_y
_atom_site_fract_z
Nb1 0.0000 0.5000 0.0000
Re1 0.0000 0.0000 0.5000
H1 0.5000 0.5000 0.0000
Pt1 0.5000 0.5000 0.5000
# - E (Ha/atom) = -0.31632
# - Fermi-level density of states (states/eV/f.u.) = 2.76
# - crystal system = tetragonal
# - polymorph energy (0 for the lowest one) (meV per atom) = 45.9

=====

Record 2
# NbHPtRh2 | the Alexandria database | PBE | optimized geometry
data_NbHPtRh2
_cell_length_a 4.0169
_cell_length_b 4.0169
_cell_length_c 3.9425
_cell_angle_alpha 90.00
_cell_angle_beta 90.00
_cell_angle_gamma 90.00
_symmetry_space_group_name_H-M 'P 4/m m m'
_symmetry_Int_Tables_number 123
_symmetry_space_group_name_Hall '-P 4 2'
loop_
_atom_site_label
_atom_site_fract_x
_atom_site_fract_y
_atom_site_fract_z
Nb1 0.0000 0.0000 0.0000
H1 0.5000 0.5000 0.5000
Pt1 0.5000 0.5000 0.0000
Rh1 0.0000 0.5000 0.5000
# - E (Ha/atom) = -0.26522
# - Fermi-level density of states (states/eV/f.u.) = 1.72
# - crystal system = tetragonal
# - polymorph energy (0 for the lowest one) (meV per atom) = 0.0

=====

Record 3
# NbHPtRh2 | the Alexandria database | PBE | optimized geometry
data_NbHPtRh2
_cell_length_a 3.9541
_cell_length_b 3.9541
_cell_length_c 4.0633
_cell_angle_alpha 90.00
_cell_angle_beta 90.00
_cell_angle_gamma 90.00
_symmetry_space_group_name_H-M 'P 4/m m m'
_symmetry_Int_Tables_number 123
_symmetry_space_group_name_Hall '-P 4 2'
loop_
_atom_site_label
_atom_site_fract_x
_atom_site_fract_y
_atom_site_fract_z
Nb1 0.0000 0.0000 0.0000
H1 0.0000 0.0000 0.5000
Pt1 0.5000 0.5000 0.0000
Rh1 0.0000 0.5000 0.5000
# - E (Ha/atom) = -0.26507
# - Fermi-level density of states (states/eV/f.u.) = 2.85
# - crystal system = tetragonal
# - polymorph energy (0 for the lowest one) (meV per atom) = 4.1

=====

Record 4
# NbHRuPt2 | the Alexandria database | PBE | optimized geometry
data_NbHRuPt2
_cell_length_a 3.9126
_cell_length_b 3.9126
_cell_length_c 4.2557
_cell_angle_alpha 90.00
_cell_angle_beta 90.00
_cell_angle_gamma 90.00
_symmetry_space_group_name_H-M 'P 4/m m m'
_symmetry_Int_Tables_number 123
_symmetry_space_group_name_Hall '-P 4 2'
loop_
_atom_site_label
_atom_site_fract_x
_atom_site_fract_y
_atom_site_fract_z
Nb1 0.0000 0.0000 0.0000
H1 0.0000 0.0000 0.5000
Ru1 0.5000 0.5000 0.0000
Pt1 0.0000 0.5000 0.5000
# - E (Ha/atom) = -0.26317
# - Fermi-level density of states (states/eV/f.u.) = 4.25
# - crystal system = tetragonal
# - polymorph energy (0 for the lowest one) (meV per atom) = 71.7

=====

Record 5
# NbHRuPt2 | the Alexandria database | PBE | optimized geometry
data_NbHRuPt2
_cell_length_a 3.9716
_cell_length_b 3.9716
_cell_length_c 4.1158
_cell_angle_alpha 90.00
_cell_angle_beta 90.00
_cell_angle_gamma 90.00
_symmetry_space_group_name_H-M 'P 4/m m m'
_symmetry_Int_Tables_number 123
_symmetry_space_group_name_Hall '-P 4 2'
loop_
_atom_site_label
_atom_site_fract_x
_atom_site_fract_y
_atom_site_fract_z
Nb1 0.0000 0.0000 0.0000
H1 0.5000 0.5000 0.5000
Ru1 0.5000 0.5000 0.0000
Pt1 0.0000 0.5000 0.5000
# - E (Ha/atom) = -0.26581
# - Fermi-level density of states (states/eV/f.u.) = 1.54
# - crystal system = tetragonal
# - polymorph energy (0 for the lowest one) (meV per atom) = 0.0

=====

Record 6
# NbHRu2Pt | the Alexandria database | PBE | optimized geometry
data_NbHRu2Pt
_cell_length_a 3.9521
_cell_length_b 3.9521
_cell_length_c 4.0103
_cell_angle_alpha 90.00
_cell_angle_beta 90.00
_cell_angle_gamma 90.00
_symmetry_space_group_name_H-M 'P 4/m m m'
_symmetry_Int_Tables_number 123
_symmetry_space_group_name_Hall '-P 4 2'
loop_
_atom_site_label
_atom_site_fract_x
_atom_site_fract_y
_atom_site_fract_z
Nb1 0.0000 0.0000 0.0000
H1 0.0000 0.0000 0.5000
Ru1 0.0000 0.5000 0.5000
Pt1 0.5000 0.5000 0.0000
# - E (Ha/atom) = -0.29043
# - Fermi-level density of states (states/eV/f.u.) = 2.43
# - crystal system = tetragonal
# - polymorph energy (0 for the lowest one) (meV per atom) = 0.0

=====

Record 7
# Nb2HRuPt | the Alexandria database | PBE | optimized geometry
data_Nb2HRuPt
_cell_length_a 4.1051
_cell_length_b 4.1051
_cell_length_c 3.9687
_cell_angle_alpha 90.00
_cell_angle_beta 90.00
_cell_angle_gamma 90.00
_symmetry_space_group_name_H-M 'P 4/m m m'
_symmetry_Int_Tables_number 123
_symmetry_space_group_name_Hall '-P 4 2'
loop_
_atom_site_label
_atom_site_fract_x
_atom_site_fract_y
_atom_site_fract_z
Nb1 0.0000 0.5000 0.0000
H1 0.0000 0.0000 0.0000
Ru1 0.0000 0.0000 0.5000
Pt1 0.5000 0.5000 0.5000
# - E (Ha/atom) = -0.29961
# - Fermi-level density of states (states/eV/f.u.) = 2.97
# - crystal system = tetragonal
# - polymorph energy (0 for the lowest one) (meV per atom) = 0.0

=====

Record 8
# Nb2HRuPt | the Alexandria database | PBE | optimized geometry
data_Nb2HRuPt
_cell_length_a 4.1088
_cell_length_b 4.1088
_cell_length_c 3.9787
_cell_angle_alpha 90.00
_cell_angle_beta 90.00
_cell_angle_gamma 90.00
_symmetry_space_group_name_H-M 'P 4/m m m'
_symmetry_Int_Tables_number 123
_symmetry_space_group_name_Hall '-P 4 2'
loop_
_atom_site_label
_atom_site_fract_x
_atom_site_fract_y
_atom_site_fract_z
Nb1 0.0000 0.5000 0.0000
H1 0.0000 0.0000 0.0000
Ru1 0.5000 0.5000 0.5000
Pt1 0.0000 0.0000 0.5000
# - E (Ha/atom) = -0.29675
# - Fermi-level density of states (states/eV/f.u.) = 3.34
# - crystal system = tetragonal
# - polymorph energy (0 for the lowest one) (meV per atom) = 78.0